# ThPaNi

An optimized crystal structure of ThPaNi (PBE, OQMD).

## Properties
Crystal system: cubic
DFT formation energy: 0.5 eV/f.u.
Distance to the lowest polymorph of the same formula: 0 meV per atom

Cell and atoms, written as extended XYZ:
```
3
Lattice="-3.398 -2.049 2.512 -3.909 2.383 1.046 -4.068 -1.146 -2.048" Properties=species:S:1:pos:R:3 pbc="T T T"
Ni 0.000 0.000 0.000
Pa -8.532 -0.609 1.133
Th -2.844 -0.203 0.378
```



# PaTlNi

An optimized crystal structure of PaTlNi (PBE, OQMD).

## Properties
Crystal system: cubic
Distance to the lowest polymorph of the same formula: 192 meV per atom

Cell and atoms, written as extended XYZ:
```
3
Lattice="-2.852 -2.452 2.965 -4.595 1.258 0.488 -3.453 -2.806 -1.773" Properties=species:S:1:pos:R:3 pbc="T T T"
Ni -2.725 -1.000 0.420
Pa 0.000 0.000 0.000
Tl -8.175 -2.999 1.261
```



# PaTlNi

An optimized crystal structure of PaTlNi (PBE, OQMD).

## Properties
Crystal system: cubic
Distance to the lowest polymorph of the same formula: 119 meV per atom

Cell and atoms, written as extended XYZ:
```
3
Lattice="1.932 -2.379 3.588 -2.545 -0.914 3.867 -1.388 -4.414 0.922" Properties=species:S:1:pos:R:3 pbc="T T T"
Ni -0.500 -1.927 2.094
Pa -1.501 -5.780 6.283
Tl 0.000 0.000 0.000
```



# PaTlNi

An optimized crystal structure of PaTlNi (PBE, OQMD).

## Properties
Crystal system: hexagonal
Distance to the lowest polymorph of the same formula: 0 meV per atom

Cell and atoms, written as extended XYZ:
```
9
Lattice="-0.282 -3.621 -3.607 4.014 3.174 0.132 4.303 -5.664 5.348" Properties=species:S:1:pos:R:3 pbc="T T T"
Ni 0.633 -0.834 0.787
Ni 2.152 -2.832 2.674
Ni 3.670 -4.830 4.561
Pa 2.582 0.909 -1.114
Pa 2.670 -3.356 -0.472
Pa 3.933 -5.019 1.098
Tl 1.150 -1.356 -2.361
Tl 4.030 -0.997 0.685
Tl 5.437 -2.848 2.434
```



# Tm2PaNi9

An optimized crystal structure of Tm2PaNi9 (PBE, OQMD).

## Properties
Crystal system: trigonal
DFT formation energy: -5.5 eV/f.u.

Cell and atoms, written as extended XYZ:
```
12
Lattice="-0.248 3.516 7.810 3.667 5.400 5.552 -0.796 7.180 4.609" Properties=species:S:1:pos:R:3 pbc="T T T"
Ni 1.931 5.787 8.174
Ni 0.875 5.368 5.994
Ni 0.967 8.468 11.406
Ni 2.934 9.414 10.272
Ni 1.311 8.048 8.986
Ni -0.312 6.681 7.700
Ni 1.656 7.628 6.565
Ni 1.748 10.727 11.978
Ni 0.692 10.309 9.798
Pa 0.000 0.000 0.000
Tm 0.366 2.249 2.511
Tm 2.256 13.847 15.460
```



# YPaNi

An optimized crystal structure of YPaNi (PBE, OQMD).

## Properties
Crystal system: cubic
DFT formation energy: 0.6 eV/f.u.
Distance to the lowest polymorph of the same formula: 0 meV per atom

Cell and atoms, written as extended XYZ:
```
3
Lattice="0.000 3.292 3.292 3.292 0.000 3.292 3.292 3.292 0.000" Properties=species:S:1:pos:R:3 pbc="T T T"
Ni 0.000 0.000 0.000
Pa 1.646 1.646 1.646
Y 4.939 4.939 4.939
```



# PaZnNi

An optimized crystal structure of PaZnNi (PBE, OQMD).

## Properties
Crystal system: cubic
DFT formation energy: 2.1 eV/f.u.

Cell and atoms, written as extended XYZ:
```
3
Lattice="-4.258 -1.446 -0.528 -3.249 1.455 2.799 -3.185 2.842 -1.511" Properties=species:S:1:pos:R:3 pbc="T T T"
Ni -2.673 0.713 0.190
Pa 0.000 0.000 0.000
Zn -8.020 2.138 0.570
```



# PaZnNi

An optimized crystal structure of PaZnNi (PBE, OQMD).

## Properties
Crystal system: cubic
DFT formation energy: -0.4 eV/f.u.

Cell and atoms, written as extended XYZ:
```
3
Lattice="0.000 3.084 3.084 3.084 0.000 3.084 3.084 3.084 0.000" Properties=species:S:1:pos:R:3 pbc="T T T"
Ni 0.000 0.000 0.000
Pa 4.626 4.626 4.626
Zn 1.542 1.542 1.542
```



# Ni15Pb

An optimized crystal structure of Ni15Pb (PBE, OQMD).

## Properties
Crystal system: orthorhombic
Distance to the lowest polymorph of the same formula: 0 meV per atom

Cell and atoms, written as extended XYZ:
```
32
Lattice="3.531 0.000 0.000 0.000 3.531 0.000 0.000 0.000 40.893" Properties=species:S:1:pos:R:3 pbc="T T T"
Ni 0.883 1.765 7.516
Ni 2.648 1.765 9.214
Ni 0.883 0.000 9.214
Ni 0.883 1.765 10.934
Ni 2.648 0.000 10.938
Ni 0.883 0.000 12.693
Ni 2.648 1.765 12.694
Ni 2.648 0.000 14.423
Ni 0.883 1.765 14.426
Ni 2.648 1.765 16.134
Ni 0.883 0.000 16.134
Ni 0.883 1.765 17.865
Ni 2.648 0.000 17.866
Ni 0.883 0.000 19.579
Ni 2.648 1.765 19.579
Ni 0.883 1.765 21.314
Ni 2.648 0.000 21.314
Ni 0.883 0.000 23.027
Ni 2.648 1.765 23.028
Ni 2.648 0.000 24.759
Ni 0.883 1.765 24.759
Ni 2.648 1.765 26.467
Ni 0.883 0.000 26.469
Ni 0.883 1.765 28.199
Ni 2.648 0.000 28.199
Ni 0.883 0.000 29.955
Ni 2.648 1.765 29.959
Ni 2.648 0.000 31.679
Ni 0.883 1.765 31.679
Ni 2.648 1.765 33.377
Pb 2.648 0.000 6.626
Pb 0.883 0.000 34.267
```



# Ni124Pb

An optimized crystal structure of Ni124Pb (PBE, OQMD).

## Properties
Final energy: -692.670 eV per cell
Crystal system: cubic

Cell and atoms, written as extended XYZ:
```
125
Lattice="-2.500 -9.366 7.743 3.602 0.623 11.856 -8.437 1.457 8.979" Properties=species:S:1:pos:R:3 pbc="T T T"
Ni -0.521 -1.952 1.613
Ni -1.005 -3.766 3.114
Ni -1.494 -5.600 4.629
Ni -1.979 -7.415 6.130
Ni -0.278 -3.620 5.471
Ni 0.751 0.130 2.470
Ni -1.228 -7.285 8.600
Ni 0.940 -1.627 6.292
Ni 0.441 -3.496 7.836
Ni 1.449 0.250 4.768
Ni -0.046 -5.349 9.397
Ni 2.154 0.372 7.088
Ni 1.149 -3.394 10.202
Ni 0.662 -5.248 11.763
Ni 0.163 -7.116 13.308
Ni 2.852 0.493 9.386
Ni 2.331 -1.458 10.999
Ni 1.380 -5.123 14.128
Ni 0.219 -1.755 3.938
Ni -0.774 -5.477 7.014
Ni 1.651 -1.508 8.649
Ni -0.526 -3.083 12.006
Ni -1.745 -5.078 11.184
Ni -1.526 -6.828 15.103
Ni -0.305 -4.829 15.926
Ni -2.246 -6.953 12.734
Ni 0.195 -2.958 14.379
Ni -1.468 -1.458 5.719
Ni -1.966 -3.326 7.264
Ni -0.749 -1.334 8.084
Ni -1.027 -4.954 13.556
Ni -2.690 -3.453 4.895
Ni -0.250 0.541 6.539
Ni -1.249 -3.204 9.635
Ni -2.968 -7.072 10.368
Ni 0.688 -1.088 12.832
Ni -0.810 -6.699 17.470
Ni -3.189 -5.309 6.437
Ni -2.466 -5.184 8.815
Ni 0.460 0.663 8.896
Ni -0.042 -1.216 10.449
Ni -2.195 -1.588 3.361
Ni -0.972 0.415 4.186
Ni -1.758 0.304 1.871
Ni -3.737 -7.111 8.001
Ni 1.094 0.797 11.257
Ni -3.151 -1.168 7.510
Ni -3.874 -1.294 5.141
Ni -4.373 -3.162 6.686
Ni -2.652 0.707 5.965
Ni -3.651 -3.038 9.061
Ni -1.933 0.832 8.330
Ni -2.434 -1.045 9.882
Ni -3.434 -4.788 12.980
Ni -2.213 -2.790 13.802
Ni -2.713 -4.663 15.351
Ni -2.934 -2.915 11.432
Ni -3.934 -6.660 14.528
Ni -1.494 -2.666 16.173
Ni -1.993 -4.537 17.723
Ni -4.655 -6.786 12.158
Ni -3.215 -6.537 16.900
Ni -0.994 -0.792 14.626
Ni -4.155 -4.911 10.608
Ni -1.715 -0.916 12.253
Ni -2.510 -6.402 19.272
Ni -3.011 -8.281 20.825
Ni -1.787 -6.277 21.650
Ni -3.393 0.586 3.611
Ni -4.887 -5.014 8.240
Ni -1.239 0.958 10.699
Ni -5.045 0.871 5.368
Ni -6.050 -2.895 8.482
Ni -3.596 1.122 10.136
Ni -4.825 -0.884 9.306
Ni -5.548 -1.009 6.928
Ni -4.324 0.994 7.753
Ni -5.341 -2.749 10.855
Ni -6.341 -6.495 13.952
Ni -4.120 -0.750 11.678
Ni -2.679 -0.501 16.420
Ni -5.620 -6.370 16.325
Ni -3.180 -2.375 17.969
Ni -5.841 -4.620 12.405
Ni -3.401 -0.627 14.050
Ni -4.400 -4.371 17.145
Ni -4.621 -2.623 13.227
Ni -5.121 -4.496 14.776
Ni -3.901 -2.499 15.598
Ni -6.564 -4.747 10.036
Ni -7.063 -6.615 11.581
Ni -2.902 1.248 12.505
Ni -4.901 -6.241 18.696
Ni -2.183 1.373 14.870
Ni -3.683 -4.249 19.517
Ni -4.184 -6.119 21.068
Ni -6.679 1.154 7.108
Ni -7.200 -0.798 8.721
Ni -5.929 1.283 9.578
Ni -7.794 -7.949 19.682
Ni -7.293 -6.071 18.129
Ni -4.869 -2.102 19.763
Ni -6.363 -7.702 24.392
Ni -4.146 -1.977 22.141
Ni -5.139 -5.698 25.217
Ni -6.525 -0.588 11.108
Ni -8.022 -6.199 15.746
Ni -4.367 -0.215 18.210
Ni -8.247 -4.456 11.827
Ni -4.585 1.539 14.296
Ni -6.085 -4.082 18.943
Ni -6.308 -2.332 15.022
Ni -5.867 -5.828 22.859
Ni -6.585 -5.952 20.494
Ni -5.368 -3.960 21.314
Ni -6.808 -4.204 16.572
Ni -7.030 -2.457 12.652
Ni -7.529 -4.328 14.199
Ni -5.809 -0.458 13.475
Ni -5.089 -0.334 15.844
Ni -5.589 -2.208 17.394
Ni -6.561 -1.810 21.564
Ni -7.554 -5.531 24.640
Ni -8.985 -5.778 19.929
Pb 0.000 0.000 0.000
```



# Ni4Pb5

An optimized crystal structure of Ni4Pb5 (PBE, OQMD).

## Properties
Final energy: -79.752 eV per cell
Crystal system: orthorhombic

Cell and atoms, written as extended XYZ:
```
18
Lattice="-4.866 -4.782 12.501 -5.385 0.780 12.558 -4.452 -3.195 -1.086" Properties=species:S:1:pos:R:3 pbc="T T T"
Ni -4.657 -1.936 10.417
Ni -9.776 -3.936 22.916
Ni -3.676 -1.799 5.993
Ni -2.695 -1.663 1.570
Ni -12.008 -5.534 22.403
Ni -11.027 -5.398 17.980
Ni -4.927 -3.261 1.057
Ni -10.046 -5.261 13.556
Pb -6.998 -0.813 16.682
Pb -6.039 -0.676 12.368
Pb -8.603 -3.772 17.628
Pb -5.084 -0.547 8.053
Pb -7.853 -3.668 14.249
Pb -6.849 -3.529 9.724
Pb -9.619 -6.650 15.920
Pb -6.100 -3.424 6.345
Pb -8.664 -6.521 11.605
Pb -7.705 -6.384 7.291
```



# Ni15Pb

An optimized crystal structure of Ni15Pb (PBE, OQMD).

## Properties
Crystal system: monoclinic
Distance to the lowest polymorph of the same formula: 30 meV per atom

Cell and atoms, written as extended XYZ:
```
32
Lattice="4.950 0.000 0.000 0.000 3.477 0.000 0.000 0.000 33.111" Properties=species:S:1:pos:R:3 pbc="T T T"
Ni 3.093 0.000 7.368
Ni 1.858 1.739 8.499
Ni 4.330 1.739 8.499
Ni 0.619 0.000 9.725
Ni 3.094 0.000 9.779
Ni 4.336 1.739 10.994
Ni 1.852 1.739 10.994
Ni 0.619 0.000 12.227
Ni 3.094 0.000 12.248
Ni 1.855 1.739 13.473
Ni 4.333 1.739 13.476
Ni 0.619 0.000 14.707
Ni 3.094 0.000 14.718
Ni 1.856 1.739 15.946
Ni 4.331 1.739 15.952
Ni 0.618 0.000 17.174
Ni 3.094 0.000 17.179
Ni 1.856 1.739 18.400
Ni 4.331 1.739 18.409
Ni 0.617 0.000 19.637
Ni 3.094 0.000 19.639
Ni 1.855 1.739 20.865
Ni 4.331 1.739 20.887
Ni 0.614 0.000 22.119
Ni 3.098 0.000 22.119
Ni 1.856 1.739 23.326
Ni 4.331 1.739 23.381
Ni 0.619 0.000 24.602
Ni 3.093 0.000 24.602
Ni 1.856 1.739 25.733
Pb 0.618 0.000 6.584
Pb 4.332 1.739 26.516
```



# Ni17Pb

An optimized crystal structure of Ni17Pb (PBE, OQMD).

## Properties
Final energy: -192.942 eV per cell
Crystal system: trigonal

Cell and atoms, written as extended XYZ:
```
36
Lattice="4.938 0.000 0.000 -2.469 4.276 0.000 0.000 0.000 31.242" Properties=species:S:1:pos:R:3 pbc="T T T"
Ni -1.229 2.141 7.596
Ni 1.229 2.141 7.596
Ni 0.000 4.270 7.596
Ni 1.224 0.707 9.563
Ni 3.714 0.707 9.563
Ni 2.469 2.863 9.563
Ni 0.000 2.851 9.570
Ni 0.000 1.425 11.581
Ni -1.235 3.564 11.581
Ni 1.235 3.564 11.581
Ni 2.469 1.425 11.587
Ni 0.000 0.000 13.610
Ni 2.469 0.000 13.612
Ni -1.234 2.138 13.612
Ni 1.234 2.138 13.612
Ni 0.000 2.851 15.619
Ni 1.234 0.713 15.620
Ni 3.704 0.713 15.620
Ni 2.469 2.851 15.620
Ni 0.000 1.425 17.638
Ni -1.234 3.564 17.638
Ni 1.234 3.564 17.638
Ni 2.469 1.425 17.639
Ni 0.000 0.000 19.652
Ni 2.469 0.001 19.659
Ni 1.235 2.138 19.659
Ni 3.703 2.138 19.659
Ni 0.000 2.851 21.671
Ni 1.244 0.718 21.676
Ni 3.694 0.718 21.676
Ni 2.469 2.840 21.676
Ni 0.000 1.432 23.646
Ni -1.229 3.560 23.646
Ni 1.229 3.560 23.646
Pb 0.000 0.000 6.555
Pb 2.469 1.425 24.688
```



# Ni15Pb

An optimized crystal structure of Ni15Pb (PBE, OQMD).

## Properties
Crystal system: monoclinic
Distance to the lowest polymorph of the same formula: 73 meV per atom

Cell and atoms, written as extended XYZ:
```
32
Lattice="5.007 0.000 0.000 0.000 2.642 0.000 0.000 0.000 38.929" Properties=species:S:1:pos:R:3 pbc="T T T"
Ni 1.878 0.000 7.175
Ni 0.604 1.321 8.769
Ni 3.151 1.321 8.769
Ni 1.878 0.000 10.412
Ni 4.381 0.000 10.414
Ni 0.626 1.321 12.063
Ni 3.130 1.321 12.063
Ni 4.381 0.000 13.702
Ni 1.878 0.000 13.702
Ni 0.627 1.321 15.335
Ni 3.129 1.321 15.335
Ni 4.381 0.000 16.992
Ni 1.878 0.000 16.993
Ni 0.626 1.321 18.633
Ni 3.130 1.321 18.633
Ni 1.877 0.000 20.288
Ni 4.382 0.000 20.288
Ni 3.130 1.321 21.941
Ni 0.626 1.321 21.942
Ni 4.381 0.000 23.579
Ni 1.878 0.000 23.579
Ni 3.129 1.321 25.233
Ni 0.626 1.321 25.234
Ni 4.381 0.000 26.869
Ni 1.878 0.000 26.869
Ni 0.626 1.321 28.515
Ni 3.129 1.321 28.517
Ni 4.402 0.000 30.163
Ni 1.856 0.000 30.163
Ni 3.129 1.321 31.759
Pb 4.381 0.000 6.387
Pb 0.626 1.321 32.542
```